# Ti3VSb2P6O24

Crystalline Ti3VSb2P6O24 at its relaxed geometry (PBE with a Hubbard U, Alexandria). Values from VASP.

Properties
DOS at the Fermi energy: 10.926 states/eV/cell
raw total energy: -7.53 eV per atom
crystal system: trigonal
space-group type: R3

```
&SYSTEM
  ibrav = 0, nat = 36, ntyp = 5
/
ATOMIC_SPECIES
P 30.97 P.upf
O 16.00 O.upf
Sb 121.76 Sb.upf
Ti 47.87 Ti.upf
V 50.94 V.upf
CELL_PARAMETERS angstrom
-6.330 -6.017 -1.897
2.081 -8.371 -2.338
-1.647 -6.901 5.435
ATOMIC_POSITIONS crystal
P 0.455 0.749 0.046
P 0.254 0.959 0.536
P 0.959 0.536 0.254
P 0.749 0.046 0.455
P 0.046 0.455 0.749
P 0.536 0.254 0.959
O 0.946 0.726 0.094
O 0.924 0.052 0.267
O 0.485 0.324 0.109
O 0.109 0.485 0.324
O 0.201 0.990 0.381
O 0.764 0.558 0.422
O 0.703 0.881 0.493
O 0.610 0.788 0.027
O 0.410 0.590 0.234
O 0.234 0.410 0.590
O 0.094 0.946 0.726
O 0.052 0.267 0.924
O 0.493 0.703 0.881
O 0.788 0.027 0.610
O 0.558 0.422 0.764
O 0.027 0.610 0.788
O 0.726 0.094 0.946
O 0.990 0.381 0.201
O 0.324 0.109 0.485
O 0.590 0.234 0.410
O 0.381 0.201 0.990
O 0.881 0.493 0.703
O 0.422 0.764 0.558
O 0.267 0.924 0.052
Sb 0.003 0.003 0.003
Sb 0.510 0.510 0.510
Ti 0.148 0.148 0.148
Ti 0.353 0.353 0.353
Ti 0.654 0.654 0.654
V 0.855 0.855 0.855
```

# Ti3V2SbP6O24

Crystalline Ti3V2SbP6O24 at its relaxed geometry (PBE with a Hubbard U, Alexandria). Values from VASP.

Properties
DOS at the Fermi energy: 6.719 states/eV/cell
raw total energy: -7.70 eV per atom
crystal system: trigonal
space-group type: R3

```
&SYSTEM
  ibrav = 0, nat = 36, ntyp = 5
/
ATOMIC_SPECIES
O 16.00 O.upf
Ti 47.87 Ti.upf
Sb 121.76 Sb.upf
V 50.94 V.upf
P 30.97 P.upf
CELL_PARAMETERS angstrom
-2.080 -6.058 -5.784
0.169 -8.281 2.427
-7.481 -4.207 0.911
ATOMIC_POSITIONS crystal
O 0.189 0.420 0.939
O 0.583 0.440 0.241
O 0.488 0.111 0.310
O 0.440 0.241 0.583
O 0.111 0.310 0.488
O 0.939 0.189 0.420
O 0.748 0.941 0.089
O 0.589 0.751 0.412
O 0.412 0.589 0.751
O 0.420 0.939 0.189
O 0.011 0.807 0.619
O 0.241 0.583 0.440
O 0.751 0.412 0.589
O 0.089 0.748 0.941
O 0.941 0.089 0.748
O 0.619 0.011 0.807
O 0.891 0.669 0.519
O 0.669 0.519 0.891
O 0.807 0.619 0.011
O 0.519 0.891 0.669
O 0.050 0.901 0.271
O 0.310 0.488 0.111
O 0.901 0.271 0.050
O 0.271 0.050 0.901
Ti 0.351 0.351 0.351
Ti 0.856 0.856 0.856
Ti 0.649 0.649 0.649
Sb 0.152 0.152 0.152
V 0.502 0.502 0.502
V 0.001 0.001 0.001
P 0.939 0.250 0.558
P 0.462 0.049 0.742
P 0.250 0.558 0.939
P 0.558 0.939 0.250
P 0.742 0.462 0.049
P 0.049 0.742 0.462
```

# TiV3Sb2P6O24

Crystalline TiV3Sb2P6O24 at its relaxed geometry (PBE with a Hubbard U, Alexandria). Values from VASP.

Properties
DOS at the Fermi energy: 15.444 states/eV/cell
raw total energy: -7.38 eV per atom
crystal system: trigonal
space-group type: R3

```
&SYSTEM
  ibrav = 0, nat = 36, ntyp = 5
/
ATOMIC_SPECIES
O 16.00 O.upf
Sb 121.76 Sb.upf
V 50.94 V.upf
Ti 47.87 Ti.upf
P 30.97 P.upf
CELL_PARAMETERS angstrom
-8.794 0.368 -1.319
-4.387 -6.755 -3.787
-5.590 -5.087 4.699
ATOMIC_POSITIONS crystal
O 0.708 0.480 0.884
O 0.069 0.921 0.260
O 0.232 0.590 0.434
O 0.191 0.380 0.008
O 0.008 0.191 0.380
O 0.547 0.769 0.417
O 0.480 0.884 0.708
O 0.732 0.931 0.088
O 0.004 0.811 0.609
O 0.088 0.732 0.931
O 0.769 0.417 0.547
O 0.921 0.260 0.069
O 0.112 0.304 0.510
O 0.510 0.112 0.304
O 0.884 0.708 0.480
O 0.609 0.004 0.811
O 0.590 0.434 0.232
O 0.811 0.609 0.004
O 0.260 0.069 0.921
O 0.304 0.510 0.112
O 0.434 0.232 0.590
O 0.931 0.088 0.732
O 0.417 0.547 0.769
O 0.380 0.008 0.191
Sb 0.498 0.498 0.498
Sb 0.007 0.007 0.007
V 0.645 0.645 0.645
V 0.854 0.854 0.854
V 0.354 0.354 0.354
Ti 0.152 0.152 0.152
P 0.543 0.959 0.250
P 0.250 0.543 0.959
P 0.457 0.038 0.753
P 0.753 0.457 0.038
P 0.959 0.250 0.543
P 0.038 0.753 0.457
```

# VSb3P6O24

Crystalline VSb3P6O24 at its relaxed geometry (PBE with a Hubbard U, Alexandria). Values from VASP.

Properties
DOS at the Fermi energy: 6.548 states/eV/cell
raw total energy: -6.95 eV per atom
crystal system: trigonal
space-group type: R3

```
&SYSTEM
  ibrav = 0, nat = 34, ntyp = 4
/
ATOMIC_SPECIES
Sb 121.76 Sb.upf
O 16.00 O.upf
V 50.94 V.upf
P 30.97 P.upf
CELL_PARAMETERS angstrom
-6.486 -3.637 5.015
0.702 -1.436 8.825
-4.664 4.507 6.195
ATOMIC_POSITIONS crystal
Sb 0.350 0.350 0.350
Sb 0.649 0.649 0.649
Sb 0.857 0.857 0.857
O 0.520 0.817 0.456
O 0.158 0.220 0.527
O 0.885 0.265 0.120
O 0.626 0.016 0.781
O 0.016 0.781 0.626
O 0.817 0.456 0.520
O 0.843 0.777 0.478
O 0.527 0.158 0.220
O 0.120 0.885 0.265
O 0.745 0.883 0.108
O 0.197 0.387 0.992
O 0.533 0.490 0.180
O 0.992 0.197 0.387
O 0.883 0.108 0.745
O 0.265 0.120 0.885
O 0.490 0.180 0.533
O 0.108 0.745 0.883
O 0.220 0.527 0.158
O 0.456 0.520 0.817
O 0.387 0.992 0.197
O 0.180 0.533 0.490
O 0.777 0.478 0.843
O 0.781 0.626 0.016
O 0.478 0.843 0.777
V 0.142 0.142 0.142
P 0.459 0.041 0.748
P 0.041 0.748 0.459
P 0.245 0.539 0.964
P 0.964 0.245 0.539
P 0.748 0.459 0.041
P 0.539 0.964 0.245
```

# V3SbP4O16

Crystalline V3SbP4O16 at its relaxed geometry (PBE with a Hubbard U, Alexandria). Values from VASP.

Properties
DOS at the Fermi energy: 0.000 states/eV/cell
raw total energy: -7.38 eV per atom
crystal system: monoclinic
space-group type: Pm

```
&SYSTEM
  ibrav = 0, nat = 24, ntyp = 4
/
ATOMIC_SPECIES
O 16.00 O.upf
Sb 121.76 Sb.upf
V 50.94 V.upf
P 30.97 P.upf
CELL_PARAMETERS angstrom
5.026 0.006 0.000
0.029 10.279 0.000
0.000 0.000 6.019
ATOMIC_POSITIONS crystal
O 0.716 0.843 0.953
O 0.821 0.533 0.750
O 0.834 0.648 0.250
O 0.716 0.843 0.547
O 0.357 0.952 0.250
O 0.259 0.170 0.449
O 0.643 0.059 0.750
O 0.286 0.659 0.447
O 0.259 0.170 0.051
O 0.277 0.894 0.750
O 0.756 0.317 0.549
O 0.756 0.317 0.951
O 0.706 0.125 0.250
O 0.196 0.368 0.750
O 0.126 0.448 0.250
O 0.286 0.659 0.053
Sb 0.033 0.724 0.750
V 0.970 0.265 0.250
V 0.465 0.229 0.750
V 0.539 0.778 0.250
P 0.119 0.595 0.250
P 0.896 0.390 0.750
P 0.407 0.098 0.250
P 0.578 0.915 0.750
```

# V3SbP6O24

Crystalline V3SbP6O24 at its relaxed geometry (PBE with a Hubbard U, Alexandria). Values from VASP.

Properties
DOS at the Fermi energy: 6.949 states/eV/cell
raw total energy: -7.25 eV per atom
crystal system: trigonal
space-group type: R3

```
&SYSTEM
  ibrav = 0, nat = 34, ntyp = 4
/
ATOMIC_SPECIES
O 16.00 O.upf
P 30.97 P.upf
V 50.94 V.upf
Sb 121.76 Sb.upf
CELL_PARAMETERS angstrom
8.819 0.079 0.056
4.678 7.476 0.056
4.678 2.619 7.003
ATOMIC_POSITIONS crystal
O 0.050 0.983 0.696
O 0.771 0.598 0.401
O 0.939 0.040 0.307
O 0.502 0.704 0.871
O 0.598 0.401 0.771
O 0.228 0.408 0.586
O 0.696 0.050 0.983
O 0.040 0.307 0.939
O 0.401 0.771 0.598
O 0.298 0.130 0.495
O 0.027 0.658 0.730
O 0.130 0.495 0.298
O 0.871 0.502 0.704
O 0.307 0.939 0.040
O 0.247 0.984 0.352
O 0.704 0.871 0.502
O 0.586 0.228 0.408
O 0.495 0.298 0.130
O 0.984 0.352 0.247
O 0.408 0.586 0.228
O 0.352 0.247 0.984
O 0.730 0.027 0.658
O 0.983 0.696 0.050
O 0.658 0.730 0.027
P 0.252 0.965 0.532
P 0.532 0.252 0.965
P 0.467 0.745 0.036
P 0.965 0.532 0.252
P 0.745 0.036 0.467
P 0.036 0.467 0.745
V 0.641 0.641 0.641
V 0.145 0.145 0.145
V 0.358 0.358 0.358
Sb 0.855 0.855 0.855
```

# VSb3P4O16

Crystalline VSb3P4O16 at its relaxed geometry (PBE with a Hubbard U, Alexandria). Values from VASP.

Properties
raw total energy: -6.94 eV per atom
crystal system: monoclinic
space-group type: Pm

```
&SYSTEM
  ibrav = 0, nat = 24, ntyp = 4
/
ATOMIC_SPECIES
O 16.00 O.upf
Sb 121.76 Sb.upf
P 30.97 P.upf
V 50.94 V.upf
CELL_PARAMETERS angstrom
6.631 0.000 0.000
0.000 5.042 0.168
0.000 1.178 10.070
ATOMIC_POSITIONS crystal
O 0.500 0.143 0.046
O 0.500 0.075 0.547
O 0.821 0.868 0.170
O 0.312 0.319 0.343
O 0.677 0.121 0.821
O 0.500 0.877 0.340
O 0.000 0.458 0.097
O 0.688 0.319 0.343
O 0.500 0.552 0.875
O 0.000 0.134 0.645
O 0.000 0.840 0.466
O 0.179 0.868 0.170
O 0.806 0.691 0.682
O 0.323 0.121 0.821
O 0.194 0.691 0.682
O 0.000 0.887 0.942
Sb 0.500 0.748 0.165
Sb 0.000 0.153 0.302
Sb 0.000 0.273 0.822
P 0.000 0.761 0.089
P 0.500 0.246 0.896
P 0.000 0.833 0.620
P 0.500 0.154 0.395
V 0.500 0.860 0.720
```

# Sb3P6WO24

Crystalline Sb3P6WO24 at its relaxed geometry (PBE with a Hubbard U, Alexandria). Values from VASP.

Properties
DOS at the Fermi energy: 2.660 states/eV/cell
raw total energy: -6.93 eV per atom
crystal system: trigonal
space-group type: R3

```
&SYSTEM
  ibrav = 0, nat = 34, ntyp = 4
/
ATOMIC_SPECIES
P 30.97 P.upf
Sb 121.76 Sb.upf
O 16.00 O.upf
W 183.84 W.upf
CELL_PARAMETERS angstrom
-3.834 6.681 -4.984
1.970 1.488 -8.837
-5.921 -1.548 -6.836
ATOMIC_POSITIONS crystal
P 0.473 0.737 0.033
P 0.953 0.546 0.257
P 0.546 0.257 0.953
P 0.257 0.953 0.546
P 0.033 0.473 0.737
P 0.737 0.033 0.473
Sb 0.644 0.644 0.644
Sb 0.144 0.144 0.144
Sb 0.357 0.357 0.357
O 0.968 0.361 0.284
O 0.546 0.264 0.116
O 0.332 0.933 0.994
O 0.757 0.638 0.391
O 0.361 0.284 0.968
O 0.900 0.530 0.645
O 0.530 0.645 0.900
O 0.234 0.412 0.601
O 0.116 0.546 0.264
O 0.412 0.601 0.234
O 0.933 0.994 0.332
O 0.638 0.391 0.757
O 0.391 0.757 0.638
O 0.601 0.234 0.412
O 0.942 0.695 0.056
O 0.264 0.116 0.546
O 0.003 0.658 0.743
O 0.695 0.056 0.942
O 0.994 0.332 0.933
O 0.645 0.900 0.530
O 0.743 0.003 0.658
O 0.284 0.968 0.361
O 0.658 0.743 0.003
O 0.056 0.942 0.695
W 0.852 0.852 0.852
```

Number 1: magnetization 5.06 μB/cell. Number 2: magnetization 7.03 μB/cell. Number 3: magnetization 7.00 μB/cell. Number 4: magnetization 1.98 μB/cell. Number 5: magnetization 5.98 μB/cell. Number 6: magnetization 2.00 μB/cell. Number 7: magnetization 2.00 μB/cell. Number 8: magnetization 0.99 μB/cell.